Record 1
Here is a relaxed structure of Dy2Tc3Ru from Alexandria via LeMat-Bulk. Energies are from PBE-GGA.

Values from the calculation:
E (eV/atom): -8.46
Calculated density (g/cm3): 10.82
Symmetry: C2/m, No. 12

Lattice parameters (Å, degrees): 9.0692 5.2417 5.5559 90.00 123.16 90.00
Sites, in units of the cell vectors:
Dy1 0.1251 0.0000 0.3750
Dy2 0.3749 0.5000 0.6250
Dy3 0.6251 0.5000 0.3750
Dy4 0.8749 0.0000 0.6250
Tc1 0.0000 0.5000 0.0000
Tc2 0.2500 0.2500 0.0000
Tc3 0.2500 0.7500 0.0000
Tc4 0.5000 0.0000 0.0000
Tc5 0.7500 0.2500 0.0000
Tc6 0.7500 0.7500 0.0000
Ru1 0.0000 0.5000 0.5000
Ru2 0.5000 0.0000 0.5000



Record 2
Here is a relaxed structure of CsIn2Ag2 from Alexandria via LeMat-Bulk. Energies are from PBE-GGA.

Values from the calculation:
E (eV/atom): -2.32
Calculated density (g/cm3): 6.95
Symmetry: P4/mbm, No. 127

Lattice parameters (Å, degrees): 9.2551 9.2551 3.2249 90.00 90.00 90.00
Sites, in units of the cell vectors:
Cs1 0.0000 0.0000 0.0000
Cs2 0.5000 0.5000 0.0000
In1 0.1325 0.3675 0.5000
In2 0.3675 0.8675 0.5000
In3 0.6325 0.1325 0.5000
In4 0.8675 0.6325 0.5000
Ag1 0.1496 0.6496 0.0000
Ag2 0.3504 0.1496 0.0000
Ag3 0.6496 0.8504 0.0000
Ag4 0.8504 0.3504 0.0000



Record 3
Here is a relaxed structure of Sc10Sb3Te3 from Alexandria via LeMat-Bulk. Energies are from PBE-GGA.

Values from the calculation:
ΔE_f (raw) (meV/atom): -853
Calculated density (g/cm3): 5.44
Symmetry: P-62m, No. 189

Lattice parameters (Å, degrees): 8.5018 8.5018 5.8455 90.00 90.00 120.00
Sites, in units of the cell vectors:
Sc1 0.0000 0.2519 0.0000
Sc2 0.0000 0.7486 0.5000
Sc3 0.2514 0.2514 0.5000
Sc4 0.2519 0.0000 0.0000
Sc5 0.3333 0.6667 0.2514
Sc6 0.3333 0.6667 0.7486
Sc7 0.6667 0.3333 0.2514
Sc8 0.6667 0.3333 0.7486
Sc9 0.7481 0.7481 0.0000
Sc10 0.7486 0.0000 0.5000
Sb1 0.0000 0.3850 0.5000
Sb2 0.3850 0.0000 0.5000
Sb3 0.6150 0.6150 0.5000
Te1 0.0000 0.6155 0.0000
Te2 0.3845 0.3845 0.0000
Te3 0.6155 0.0000 0.0000